Entry 1:
A plane-wave DFT calculation with PBE was carried out for an optimized crystal structure of Tl4OsAu.

Values from the calculation:
Its formation energy is 1.17 eV per atom.

```
Tl4OsAu
1.0
5.543 -2.201 -1.316
2.827 -3.711 3.941
0.697 -5.917 -1.340
Tl Au Os
4 1 1
Cartesian
6.173 -5.536 -0.177 Tl
3.398 -4.434 0.481 Tl
4.814 -6.292 2.454 Tl
3.747 -7.396 -0.189 Tl
6.800 -8.872 0.963 Au
0.000 0.000 0.000 Os
```

Entry 2:
A plane-wave DFT calculation with PBE was carried out for an optimized crystal structure of ZrNbCrMo.

Values from the calculation:
Its formation energy is 0.09 eV per atom.

```
ZrNbCrMo
1.0
-4.588 -0.199 -0.206
-2.321 -2.647 2.955
-2.536 1.930 3.313
Cr Nb Mo Zr
1 1 1 1
Cartesian
-2.361 -0.229 1.515 Cr
-4.722 -0.458 3.031 Nb
-7.083 -0.687 4.546 Mo
0.000 0.000 0.000 Zr
```

- Which formula does entry 1 have?
  Tl4OsAu